# Fe2Mo2O7 PBE+U optimized geometry
data_Fe2Mo2O7
_cell_length_a 6.633
_cell_length_b 7.333
_cell_length_c 5.091
_cell_angle_alpha 90.00
_cell_angle_beta 101.18
_cell_angle_gamma 90.00
_space_group_name_H-M_alt 'C 1 2/m 1'
_space_group_IT_number 12
_space_group_name_Hall '-C 2y'
loop_
_atom_site_label
_atom_site_fract_x
_atom_site_fract_y
_atom_site_fract_z
_atom_site_occupancy
Fe1 0.237 0.000 0.020 1
Mo1 0.000 0.231 0.500 1
O1 0.000 0.500 0.500 1
O2 0.044 0.000 0.288 1
O3 0.219 0.290 0.251 1
# distance to the lowest polymorph of the same formula	95	meV/atom
# V	11.0	A^3/atom
# energy	-6.894	eV per atom
# crystal system	monoclinic